GdMnSi | Alexandria via LeMat-Bulk | PBE | optimized geometry; magnetic moment = 10.50 μB/f.u.; symmetry = P-6m2; VASP energy = -29.69 eV per cell; formation energy without anion corrections = -1.0 eV per formula unit
1.0
3.878 0.000 0.000
0.000 4.247 0.000
0.000 -2.123 3.678
Si Gd Mn
1 1 1
Cartesian
0.646 0.000 0.000
2.585 2.123 1.226
0.646 0.000 2.452